Entry from the Alexandria database: a relaxed structure of Bi3AsCl2 (PBE).

a b c (Å): 7.199 11.662 9.029
angles (deg): 90.00 91.90 90.00
Space group C2/m (No. 12)
Asymmetric unit:
Bi 0.149 0.000 0.195 x4
Bi 0.246 0.130 0.748 x8
As 0.000 0.170 0.000 x4
Cl 0.000 0.172 0.500 x4
Cl 0.000 0.500 0.000 x2
Cl 0.000 0.500 0.500 x2

Output
DOS at the Fermi energy, states/eV/f.u.: 2.4
Crystal system: monoclinic
Uncorrected energy, eV/f.u.: -21.3
V, Å³ per cell: 757.6
Formation energy (no corrections), eV/atom: -0.218


Entry from the Alexandria database: a relaxed structure of Bi3AsCl (PBE).

a b c (Å): 5.603 5.603 5.603
angles (deg): 90.00 90.00 90.00
Space group Pm-3m (No. 221)
Asymmetric unit:
Bi 0.000 0.000 0.500 x3
As 0.000 0.000 0.000 x1
Cl 0.500 0.500 0.500 x1

Output
Excess energy over the best structure of this formula in the dataset, eV/f.u.: 0.000
DOS at the Fermi energy, states/eV/f.u.: 3.5
Crystal system: cubic
Uncorrected energy, eV/f.u.: -16.1
V, Å³ per cell: 175.9
Formation energy (no corrections), eV/atom: 0.411


Entry from the Alexandria database: a relaxed structure of Bi2AsClF (PBE).

a b c (Å): 4.923 4.923 4.965
angles (deg): 90.00 90.00 90.00
Space group P4/mmm (No. 123)
Asymmetric unit:
Bi 0.000 0.500 0.000 x2
As 0.000 0.000 0.500 x1
Cl 0.500 0.500 0.500 x1
F 0.500 0.500 0.000 x1

Output
DOS at the Fermi energy, states/eV/f.u.: 3.6
Crystal system: tetragonal
Uncorrected energy, eV/f.u.: -16.8
V, Å³ per cell: 120.3
Formation energy (no corrections), eV/atom: -0.133


Entry from the Alexandria database: a relaxed structure of GeBiAsCl2 (PBE).

a b c (Å): 4.870 4.870 5.412
angles (deg): 90.00 90.00 90.00
Space group P4/mmm (No. 123)
Asymmetric unit:
Ge 0.000 0.000 0.000 x1
Bi 0.500 0.500 0.500 x1
As 0.000 0.000 0.500 x1
Cl 0.000 0.500 0.000 x2

Output
DOS at the Fermi energy, states/eV/f.u.: 2.8
Crystal system: tetragonal
Uncorrected energy, eV/f.u.: -17.0
V, Å³ per cell: 128.4
Formation energy (no corrections), eV/atom: -0.024


Entry from the Alexandria database: a relaxed structure of GeBi2AsCl (PBE).

a b c (Å): 5.595 5.595 4.766
angles (deg): 90.00 90.00 90.00
Space group P4/mmm (No. 123)
Asymmetric unit:
Ge 0.000 0.000 0.000 x1
Bi 0.000 0.500 0.000 x2
As 0.500 0.500 0.500 x1
Cl 0.000 0.000 0.500 x1

Output
DOS at the Fermi energy, states/eV/f.u.: 3.0
Crystal system: tetragonal
Uncorrected energy, eV/f.u.: -16.9
V, Å³ per cell: 149.2
Formation energy (no corrections), eV/atom: 0.402


Entry from the Alexandria database: a relaxed structure of BiAs2NCl (PBE).

a b c (Å): 5.030 5.030 4.020
angles (deg): 90.00 90.00 90.00
Space group P4/mmm (No. 123)
Asymmetric unit:
Bi 0.000 0.000 0.000 x1
As 0.000 0.500 0.500 x2
N 0.500 0.500 0.000 x1
Cl 0.500 0.500 0.500 x1

Output
DOS at the Fermi energy, states/eV/f.u.: 4.6
Crystal system: tetragonal
Uncorrected energy, eV/f.u.: -16.4
V, Å³ per cell: 101.7
Formation energy (no corrections), eV/atom: 1.383


Entry from the Alexandria database: a relaxed structure of BiAsN2Cl (PBE).

a b c (Å): 3.920 3.920 5.945
angles (deg): 90.00 90.00 90.00
Space group P4/mmm (No. 123)
Asymmetric unit:
Bi 0.000 0.000 0.000 x1
As 0.000 0.000 0.500 x1
N 0.000 0.500 0.500 x2
Cl 0.500 0.500 0.000 x1

Output
DOS at the Fermi energy, states/eV/f.u.: 3.3
Crystal system: tetragonal
Uncorrected energy, eV/f.u.: -21.3
V, Å³ per cell: 91.4
Formation energy (no corrections), eV/atom: 1.151


Entry from the Alexandria database: a relaxed structure of NbBiAs2Cl (PBE).

a b c (Å): 5.389 5.389 5.679
angles (deg): 90.00 90.00 90.00
Space group P4/mmm (No. 123)
Asymmetric unit:
Nb 0.000 0.000 0.000 x1
Bi 0.000 0.000 0.500 x1
As 0.000 0.500 0.500 x2
Cl 0.500 0.500 0.000 x1

Output
DOS at the Fermi energy, states/eV/f.u.: 6.7
Crystal system: tetragonal
Uncorrected energy, eV/f.u.: -18.6
V, Å³ per cell: 164.9
Formation energy (no corrections), eV/atom: 1.306


Entry from the Alexandria database: a relaxed structure of NiBiAs2Cl (PBE).

a b c (Å): 5.563 5.563 4.864
angles (deg): 90.00 90.00 90.00
Space group P4/mmm (No. 123)
Asymmetric unit:
Ni 0.000 0.000 0.000 x1
Bi 0.000 0.000 0.500 x1
As 0.000 0.500 0.500 x2
Cl 0.500 0.500 0.000 x1

Output
DOS at the Fermi energy, states/eV/f.u.: 2.8
Crystal system: tetragonal
Uncorrected energy, eV/f.u.: -15.6
V, Å³ per cell: 150.5
Formation energy (no corrections), eV/atom: 1.043


Entry from the Alexandria database: a relaxed structure of BiAsPCl2 (PBE).

a b c (Å): 4.857 4.857 5.195
angles (deg): 90.00 90.00 90.00
Space group P4/mmm (No. 123)
Asymmetric unit:
Bi 0.000 0.000 0.000 x1
As 0.500 0.500 0.500 x1
P 0.500 0.500 0.000 x1
Cl 0.000 0.500 0.500 x2

Output
Excess energy over the best structure of this formula in the dataset, eV/f.u.: 0.000
DOS at the Fermi energy, states/eV/f.u.: 3.2
Crystal system: tetragonal
Uncorrected energy, eV/f.u.: -16.5
V, Å³ per cell: 122.6
Formation energy (no corrections), eV/atom: 0.228


Entry from the Alexandria database: a relaxed structure of BiAsPCl2 (PBE).

a b c (Å): 5.286 5.286 5.787
angles (deg): 90.00 90.00 90.00
Space group P4/mmm (No. 123)
Asymmetric unit:
Bi 0.000 0.000 0.000 x1
As 0.500 0.500 0.500 x1
P 0.000 0.000 0.500 x1
Cl 0.000 0.500 0.000 x2

Output
Excess energy over the best structure of this formula in the dataset, eV/f.u.: 1.077
DOS at the Fermi energy, states/eV/f.u.: 1.2
Crystal system: tetragonal
Uncorrected energy, eV/f.u.: -15.4
V, Å³ per cell: 161.7
Formation energy (no corrections), eV/atom: 0.443


Entry from the Alexandria database: a relaxed structure of Pr3BiAsCl (PBE).

a b c (Å): 8.768 4.451 9.795
angles (deg): 90.00 103.19 90.00
Space group P2_1/m (No. 11)
Asymmetric unit:
Pr 0.072 0.250 0.350 x2
Pr 0.227 0.250 0.985 x2
Pr 0.391 0.750 0.631 x2
Bi 0.315 0.750 0.270 x2
As 0.162 0.250 0.659 x2
Cl 0.401 0.750 0.919 x2

Output
DOS at the Fermi energy, states/eV/f.u.: 3.1
Crystal system: monoclinic
Uncorrected energy, eV/f.u.: -32.1
V, Å³ per cell: 372.2
Formation energy (no corrections), eV/atom: -1.232


Entry from the Alexandria database: a relaxed structure of BiTe2AsCl (PBE).

a b c (Å): 5.433 5.433 4.954
angles (deg): 90.00 90.00 90.00
Space group P4/mmm (No. 123)
Asymmetric unit:
Bi 0.000 0.000 0.000 x1
Te 0.000 0.500 0.500 x2
As 0.500 0.500 0.000 x1
Cl 0.500 0.500 0.500 x1

Output
DOS at the Fermi energy, states/eV/f.u.: 3.6
Crystal system: tetragonal
Uncorrected energy, eV/f.u.: -13.2
V, Å³ per cell: 146.3
Formation energy (no corrections), eV/atom: 0.691


Entry from the Alexandria database: a relaxed structure of VBiAs2Cl (PBE).

a b c (Å): 5.020 5.020 4.505
angles (deg): 90.00 90.00 90.00
Space group P4/mmm (No. 123)
Asymmetric unit:
V 0.000 0.000 0.000 x1
Bi 0.500 0.500 0.500 x1
As 0.000 0.500 0.000 x2
Cl 0.000 0.000 0.500 x1

Output
DOS at the Fermi energy, states/eV/f.u.: 4.5
Crystal system: tetragonal
Uncorrected energy, eV/f.u.: -24.1
V, Å³ per cell: 113.5
Formation energy (no corrections), eV/atom: 0.014


Entry from the Alexandria database: a relaxed structure of CoBiAs (PBE).

a b c (Å): 6.404 6.282 6.424
angles (deg): 90.00 116.11 90.00
Space group P2_1/c (No. 14)
Asymmetric unit:
Co 0.199 0.018 0.201 x4
Bi 0.348 0.634 0.138 x4
As 0.144 0.149 0.840 x4

Output
DOS at the Fermi energy, states/eV/f.u.: 0.4
Crystal system: monoclinic
Uncorrected energy, eV/f.u.: -16.1
Energy of formation from the pure elements, eV per formula unit: -0.42
V, Å³ per cell: 232.1